1.
A relaxed structure of AgGeTe2. Source: the Open Quantum Materials Database, functional GGA-PBE.

Cell and atoms, written as POSCAR:
```
AgGeTe2
1.0
0.0000 3.6707 3.6707
3.6707 0.0000 3.6707
3.6707 3.6707 0.0000
Ag Ge Te
1 1 2
direct
0.0000 0.0000 0.0000 Ag
0.7500 0.7500 0.7500 Ge
0.2500 0.2500 0.2500 Te
0.5000 0.5000 0.5000 Te
```

Properties
E_tot in eV per cell: -12.21
Symmetry: No. 216
Theoretical density in g/cm³: 7.31

2.
A relaxed structure of Nb2Au2O5. Source: the Open Quantum Materials Database, functional GGA-PBE.

Cell and atoms, written as POSCAR:
```
Nb2Au2O5
1.0
3.9695 0.0000 0.0000
0.0000 3.9695 0.0000
0.0000 0.0000 8.0581
Nb Au O
2 2 5
direct
0.0000 0.0000 0.2423 Nb
0.0000 0.0000 0.7577 Nb
0.5000 0.5000 0.0000 Au
0.5000 0.5000 0.5000 Au
0.0000 0.0000 0.0000 O
0.0000 0.5000 0.2598 O
0.0000 0.5000 0.7402 O
0.5000 0.0000 0.2598 O
0.5000 0.0000 0.7402 O
```

Properties
E_tot in eV per cell: -62.19
Total magnetization in μB per cell: 0.29
Offset from the most stable computed form in meV/atom: 0
Symmetry: No. 123
Theoretical density in g/cm³: 8.63

3.
A relaxed structure of SrSm2Se3. Source: the Open Quantum Materials Database, functional GGA-PBE.

Cell and atoms, written as POSCAR:
```
SrSm2Se3
1.0
4.2537 0.0000 0.0000
-2.1268 3.6838 0.0000
0.0000 0.0000 10.4288
Sr Sm Se
1 2 3
direct
0.0000 0.0000 0.0000 Sr
0.3333 0.6667 0.6505 Sm
0.6667 0.3333 0.3495 Sm
0.0000 0.0000 0.5000 Se
0.3333 0.6667 0.1794 Se
0.6667 0.3333 0.8206 Se
```

Properties
E_tot in eV per cell: -32.94
Total magnetization in μB per cell: 0.01
Symmetry: No. 164
Theoretical density in g/cm³: 6.35

4.
A relaxed structure of Nd2Al2O5. Source: the Open Quantum Materials Database, functional GGA-PBE.

Cell and atoms, written as POSCAR:
```
Nd2Al2O5
1.0
3.7682 0.0000 0.0000
0.0000 3.7682 0.0000
0.0000 0.0000 9.5984
Nd Al O
2 2 5
direct
0.0000 0.0000 0.2450 Nd
0.0000 0.0000 0.7550 Nd
0.5000 0.5000 0.0000 Al
0.5000 0.5000 0.5000 Al
0.0000 0.0000 0.5000 O
0.0000 0.5000 0.1238 O
0.0000 0.5000 0.8762 O
0.5000 0.0000 0.1238 O
0.5000 0.0000 0.8762 O
```

Properties
E_tot in eV per cell: -59.99
Total magnetization in μB per cell: 0.00
Offset from the most stable computed form in meV/atom: 893
Symmetry: No. 123
Theoretical density in g/cm³: 5.15

5.
A relaxed structure of Au2I. Source: the Open Quantum Materials Database, functional GGA-PBE.

Cell and atoms, written as POSCAR:
```
Au2I
1.0
0.0000 4.0637 4.0637
4.0637 0.0000 4.0637
4.0637 4.0637 0.0000
Au I
4 2
direct
0.0000 0.0000 0.0000 Au
0.0000 0.0000 0.5000 Au
0.0000 0.5000 0.0000 Au
0.5000 0.0000 0.0000 Au
0.3750 0.3750 0.3750 I
0.6250 0.6250 0.6250 I
```

Properties
E_tot in eV per cell: -13.92
Offset from the most stable computed form in meV/atom: 0
Symmetry: No. 227
Theoretical density in g/cm³: 12.89

6.
A relaxed structure of CdPdAu2. Source: the Open Quantum Materials Database, functional GGA-PBE.

Cell and atoms, written as POSCAR:
```
CdPdAu2
1.0
0.0000 3.2916 3.2916
3.2916 0.0000 3.2916
3.2916 3.2916 0.0000
Cd Pd Au
1 1 2
direct
0.0000 0.0000 0.0000 Cd
0.7500 0.7500 0.7500 Pd
0.2500 0.2500 0.2500 Au
0.5000 0.5000 0.5000 Au
```

Properties
E_tot in eV per cell: -13.45
Symmetry: No. 216
Theoretical density in g/cm³: 14.27
Formation enthalpy at 0 K in eV/atom: -0.21

7.
A relaxed structure of Dy2Er3Tm2Ni2Se2. Source: the Open Quantum Materials Database, functional GGA-PBE.

Cell and atoms, written as POSCAR:
```
Dy2Er3Tm2Ni2Se2
1.0
-1.8871 7.5034 4.6263
1.8871 -7.5034 4.6263
1.8871 7.5034 -4.6263
Dy Er Tm Ni Se
2 3 2 2 2
direct
0.1408 0.0000 0.1408 Dy
0.8592 0.0000 0.8592 Dy
0.2211 0.8470 0.3741 Er
0.4728 0.8470 0.6259 Er
0.7594 0.2594 0.5000 Er
0.4589 0.6421 0.8168 Tm
0.8253 0.6421 0.1832 Tm
0.0739 0.3353 0.7386 Ni
0.5967 0.3353 0.2614 Ni
0.1006 0.6006 0.5000 Se
0.5017 0.5017 0.0000 Se
```

Properties
E_tot in eV per cell: -58.94
Total magnetization in μB per cell: 0.00
Symmetry: No. 44
Theoretical density in g/cm³: 9.13

8.
A relaxed structure of HoGeHO4. Source: the Open Quantum Materials Database, functional GGA-PBE.

Cell and atoms, written as POSCAR:
```
HoGeHO4
1.0
7.7845 0.0000 0.0000
0.0000 6.7427 0.0000
-2.6171 0.0000 6.3111
Ho Ge H O
4 4 4 16
direct
0.2044 0.1411 0.0997 Ho
0.2044 0.3589 0.5997 Ho
0.7956 0.6411 0.4003 Ho
0.7956 0.8589 0.9003 Ho
0.2417 0.6049 0.1257 Ge
0.2417 0.8951 0.6257 Ge
0.7583 0.1049 0.3743 Ge
0.7583 0.3951 0.8743 Ge
0.4690 0.6924 0.8869 H
0.4690 0.8076 0.3869 H
0.5310 0.1924 0.6131 H
0.5310 0.3076 0.1131 H
0.1052 0.6827 0.5495 O
0.1052 0.8173 0.0495 O
0.1794 0.0773 0.7681 O
0.1794 0.4227 0.2681 O
0.2812 0.0459 0.4374 O
0.2812 0.4541 0.9374 O
0.4729 0.6949 0.2964 O
0.4729 0.8051 0.7964 O
0.5271 0.1949 0.2036 O
0.5271 0.3051 0.7036 O
0.7188 0.5459 0.0626 O
0.7188 0.9541 0.5626 O
0.8206 0.5773 0.7319 O
0.8206 0.9227 0.2319 O
0.8948 0.1827 0.9505 O
0.8948 0.3173 0.4505 O
```

Properties
E_tot in eV per cell: -192.35
Total magnetization in μB per cell: 0.00
Offset from the most stable computed form in meV/atom: 0
Symmetry: No. 14
Theoretical density in g/cm³: 6.07

9.
A relaxed structure of HoTmAsO. Source: the Open Quantum Materials Database, functional GGA-PBE.

Cell and atoms, written as POSCAR:
```
HoTmAsO
1.0
4.2942 0.0000 0.0000
0.0000 4.2942 0.0000
0.0000 0.0000 8.6558
Ho Tm As O
2 2 2 2
direct
0.2500 0.7500 0.0000 Ho
0.7500 0.2500 0.0000 Ho
0.2500 0.2500 0.4039 Tm
0.7500 0.7500 0.5961 Tm
0.2500 0.2500 0.7917 As
0.7500 0.7500 0.2083 As
0.2500 0.7500 0.5000 O
0.7500 0.2500 0.5000 O
```

Properties
E_tot in eV per cell: -52.28
Total magnetization in μB per cell: 0.03
Offset from the most stable computed form in meV/atom: 107
Symmetry: No. 129
Theoretical density in g/cm³: 8.84

10.
A relaxed structure of Y3Ni8Sn4. Source: the Open Quantum Materials Database, functional GGA-PBE.

Cell and atoms, written as POSCAR:
```
Y3Ni8Sn4
1.0
8.8832 0.0000 0.0000
-4.4416 7.6931 0.0000
0.0000 0.0000 7.4622
Y Ni Sn
6 16 8
direct
0.0568 0.5284 0.0000 Y
0.4716 0.5284 0.0000 Y
0.4716 0.9432 0.0000 Y
0.5284 0.0568 0.5000 Y
0.5284 0.4716 0.5000 Y
0.9432 0.4716 0.5000 Y
0.0000 0.0000 0.2785 Ni
0.0000 0.0000 0.7785 Ni
0.1056 0.2112 0.0219 Ni
0.1056 0.8944 0.0219 Ni
0.1652 0.3303 0.3362 Ni
0.1652 0.8348 0.3362 Ni
0.2112 0.1056 0.5219 Ni
0.3303 0.1652 0.8362 Ni
0.3333 0.6667 0.6949 Ni
0.6667 0.3333 0.1949 Ni
0.6697 0.8348 0.3362 Ni
0.7888 0.8944 0.0219 Ni
0.8348 0.1652 0.8362 Ni
0.8348 0.6697 0.8362 Ni
0.8944 0.1056 0.5219 Ni
0.8944 0.7888 0.5219 Ni
0.1676 0.3351 0.7018 Sn
0.1676 0.8324 0.7018 Sn
0.3333 0.6667 0.3207 Sn
0.3351 0.1676 0.2018 Sn
0.6649 0.8324 0.7018 Sn
0.6667 0.3333 0.8207 Sn
0.8324 0.1676 0.2018 Sn
0.8324 0.6649 0.2018 Sn
```

Properties
E_tot in eV per cell: -174.52
Total magnetization in μB per cell: 0.48
Symmetry: No. 186
Theoretical density in g/cm³: 7.89

11.
A relaxed structure of TbPaBi. Source: the Open Quantum Materials Database, functional GGA-PBE.

Cell and atoms, written as POSCAR:
```
TbPaBi
1.0
0.0000 3.7636 3.7636
3.7636 0.0000 3.7636
3.7636 3.7636 0.0000
Tb Pa Bi
1 1 1
direct
0.0000 0.0000 0.0000 Tb
0.7500 0.7500 0.7500 Pa
0.5000 0.5000 0.5000 Bi
```

Properties
E_tot in eV per cell: -16.10
Total magnetization in μB per cell: 3.73
Symmetry: No. 216
Theoretical density in g/cm³: 9.33

12.
A relaxed structure of CuAg4. Source: the Open Quantum Materials Database, functional GGA-PBE.

Cell and atoms, written as POSCAR:
```
CuAg4
1.0
4.8230 -1.4577 0.0000
4.8230 1.4577 0.0000
-2.1252 0.0000 11.9415
Cu Ag
2 8
direct
0.1713 0.1713 0.0478 Cu
0.8287 0.8287 0.9522 Cu
0.0566 0.0566 0.3400 Ag
0.2371 0.2371 0.7645 Ag
0.3523 0.3523 0.4473 Ag
0.4670 0.4670 0.1256 Ag
0.5330 0.5330 0.8744 Ag
0.6477 0.6477 0.5527 Ag
0.7629 0.7629 0.2355 Ag
0.9434 0.9434 0.6600 Ag
```

Properties
E_tot in eV per cell: -29.67
Offset from the most stable computed form in meV/atom: 11
Symmetry: No. 12
Theoretical density in g/cm³: 9.79
Formation enthalpy at 0 K in eV/atom: 0.04